Entry from the Alexandria database: an optimized crystal structure of Ba3BeAs3 (PBE).

Geometry as extended XYZ:
```
28
Lattice="6.767 0.000 0.000 -3.384 9.840 0.000 0.000 0.000 13.329" Properties=species:S:1:pos:R:3 pbc="T T T"
Ba 4.655 0.000 11.368
Ba 5.495 0.000 4.703
Ba 1.272 0.000 8.626
Ba 2.112 0.000 1.961
Ba -2.026 6.478 4.945
Ba 2.026 3.363 11.609
Ba 4.741 3.363 1.720
Ba 2.026 6.478 8.385
Ba 5.410 3.363 8.385
Ba 1.357 6.478 1.720
Ba -1.357 6.478 11.609
Ba 1.357 3.363 4.945
Be 0.000 8.283 6.665
Be 0.000 1.557 0.000
Be 3.384 1.557 6.665
Be 3.384 8.283 0.000
As 1.291 0.000 12.074
As 2.093 0.000 5.410
As 4.675 0.000 7.919
As 5.476 0.000 1.255
As 1.253 6.775 5.198
As 5.514 3.065 11.862
As 1.253 3.065 1.467
As -1.253 6.775 8.131
As 2.131 3.065 8.131
As -2.131 6.775 1.467
As 2.131 6.775 11.862
As 4.637 3.065 5.198
```

Calculated values
- DOS(E_F): 23.1 states/eV/cell
- Formation energy from the elements: -0.886 eV/atom
- Calculated volume: 887.6 Å³ per cell

---

Entry from the Alexandria database: an optimized crystal structure of Ba2BeAs (PBE).

Geometry as extended XYZ:
```
4
Lattice="-0.343 4.439 -0.035 -0.147 -2.575 3.629 9.780 0.762 0.937" Properties=species:S:1:pos:R:3 pbc="T T T"
Be 5.719 0.446 0.548
As 6.303 1.442 2.424
Ba 8.956 0.698 0.858
Ba 2.982 1.183 2.106
```

Calculated values
- DOS(E_F): 3.7 states/eV/cell
- Formation energy from the elements: -0.036 eV/atom
- Calculated volume: 159.0 Å³ per cell

---

Entry from the Alexandria database: an optimized crystal structure of BaBe3As (PBE).

Geometry as extended XYZ:
```
5
Lattice="4.693 0.000 0.000 0.000 4.693 0.000 0.000 0.000 4.693" Properties=species:S:1:pos:R:3 pbc="T T T"
Be 0.000 2.346 0.000
Be 0.000 0.000 2.346
Be 2.346 0.000 0.000
As 0.000 0.000 0.000
Ba 2.346 2.346 2.346
```

Calculated values
- DOS(E_F): 2.5 states/eV/cell
- Formation energy from the elements: 0.697 eV/atom
- Calculated volume: 103.3 Å³ per cell

---

Entry from the Alexandria database: an optimized crystal structure of BaBe2As (PBE).

Geometry as extended XYZ:
```
4
Lattice="-2.962 4.290 -1.290 0.735 -0.809 -5.258 -2.450 -2.329 4.173" Properties=species:S:1:pos:R:3 pbc="T T T"
Be -2.020 3.156 -5.937
Be -1.321 2.065 -3.884
As -3.263 1.851 -0.195
Ba -1.414 -0.699 -2.179
```

Calculated values
- DOS(E_F): 2.3 states/eV/cell
- Formation energy from the elements: 0.258 eV/atom
- Calculated volume: 93.1 Å³ per cell